Entry 1:
Below is crystalline SrGe6Pd12 at its relaxed geometry, with properties calculated at the PBE level.

abc: 7.2699 7.2699 7.2699
angles: 105.34 105.34 105.34
Closest atoms and distances in Å follow each position.
Element x y z (fractional)
Ge 0.6882 0.2512 0.2512  7 Pd 2.49-2.58
Pd 0.4325 0.4325 0.1707  3 Ge 2.52-2.58
Pd 0.5675 0.8293 0.5675  3 Ge 2.52-2.58
Pd 0.1707 0.4325 0.4325  3 Ge 2.52-2.58
Pd 0.8753 0.5000 0.1247  4 Ge 2.49
Ge 0.2512 0.6882 0.2512  7 Pd 2.49-2.58
Pd 0.8753 0.1247 0.5000  4 Ge 2.49
Pd 0.5000 0.1247 0.8753  4 Ge 2.49
Ge 0.2512 0.2512 0.6882  7 Pd 2.49-2.58
Pd 0.1247 0.8753 0.5000  4 Ge 2.49
Pd 0.8293 0.5675 0.5675  3 Ge 2.52-2.58
Pd 0.4325 0.1707 0.4325  3 Ge 2.52-2.58
Ge 0.7488 0.3118 0.7488  7 Pd 2.49-2.58
Ge 0.7488 0.7488 0.3118  7 Pd 2.49-2.58
Pd 0.5675 0.5675 0.8293  3 Ge 2.52-2.58
Ge 0.3118 0.7488 0.7488  7 Pd 2.49-2.58
Pd 0.5000 0.8753 0.1247  4 Ge 2.49
Pd 0.1247 0.5000 0.8753  4 Ge 2.49
Sr 0.0000 0.0000 0.0000  6 Pd 3.46, 6 Ge 3.80

Calculated values
Energy relative to the elements (eV per atom): -0.5179
E (eV per cell): -101.54
DOS(E_F) (states/eV per cell): 8.00
Space-group type: No. 166


Entry 2:
Below is crystalline InBrN2 at its relaxed geometry, with properties calculated at the PBE level.

abc: 4.2770 4.2770 4.2770
angles: 60.00 60.00 60.00
Closest atoms and distances in Å follow each position.
Element x y z (fractional)
N 0.2500 0.2500 0.2500  4 In 2.62, 4 Br 2.62
In 0.5000 0.5000 0.5000  8 N 2.62
Br 0.0000 0.0000 0.0000  8 N 2.62
N 0.7500 0.7500 0.7500  4 In 2.62, 4 Br 2.62

Calculated values
E (eV per cell): -12.82
ΔE_f (raw) (eV/f.u.): 8.24
DOS(E_F) (states/eV per cell): 4.21
Excess energy over the best structure of this formula in the dataset (eV/atom): 1.0834
Space-group type: No. 225


Entry 3:
Below is crystalline Tb2Ga4Cu3Pd at its relaxed geometry, with properties calculated at the PBE level.

abc: 4.1432 4.1432 10.2988
angles: 90.00 90.00 90.00
Closest atoms and distances in Å follow each position.
Element x y z (fractional)
Tb 0.0000 0.5000 0.7535  6 Cu 3.15-3.33, 8 Ga 3.17-3.28, 2 Pd 3.33
Ga 0.5000 0.5000 0.0000  4 Cu 2.48
Cu 0.0000 0.5000 0.1330  5 Ga 2.38-2.48
Pd 0.5000 0.5000 0.5000  4 Ga 2.50
Cu 0.0000 0.0000 0.5000  4 Ga 2.50
Cu 0.5000 0.0000 0.8670  5 Ga 2.38-2.48
Tb 0.5000 0.0000 0.2465  6 Cu 3.15-3.33, 8 Ga 3.17-3.28, 2 Pd 3.33
Ga 0.5000 0.0000 0.6358  3 Cu 2.38-2.50, 2 Pd 2.50
Ga 0.0000 0.5000 0.3642  3 Cu 2.38-2.50, 2 Pd 2.50
Ga 0.0000 0.0000 0.0000  4 Cu 2.48

Calculated values
Energy relative to the elements (eV per atom): -0.5221
E (eV per cell): -44.07
DOS(E_F) (states/eV per cell): 5.91
Space-group type: No. 115